[1]
! PBE-GGA Sc3HPb, optimized geometry; values from VASP
&SYSTEM
  ibrav = 0, nat = 5, ntyp = 3
/
ATOMIC_SPECIES
Sc 44.96 Sc.upf
H 1.01 H.upf
Pb 207.20 Pb.upf
ATOMIC_POSITIONS angstrom
Sc 0.0000 0.0000 2.2623
Sc 0.0000 2.2623 0.0000
Sc 2.2623 0.0000 0.0000
H 0.0000 0.0000 0.0000
Pb 2.2623 2.2623 2.2623
CELL_PARAMETERS angstrom
4.5246 0.0000 0.0000
0.0000 4.5246 0.0000
0.0000 0.0000 4.5246
! * raw total energy: -27.95 eV per formula unit
! * SG: Pm-3m (221)

[2]
! PBE-GGA Sc3CdC, optimized geometry; values from VASP
&SYSTEM
  ibrav = 0, nat = 20, ntyp = 3
/
ATOMIC_SPECIES
Sc 44.96 Sc.upf
Cd 112.41 Cd.upf
C 12.01 C.upf
ATOMIC_POSITIONS angstrom
Sc 4.8024 6.1651 4.3998
Sc 2.4012 1.4625 4.3907
Sc 4.8024 3.3979 2.9189
Sc 4.8024 3.3739 5.8460
Sc 2.4012 -1.4625 1.4636
Sc 4.8024 0.6068 1.4727
Sc 4.8024 -0.6068 4.3815
Sc 7.2036 1.4625 4.3907
Sc 4.8024 -3.3739 0.0082
Sc 4.8024 -3.3979 2.9353
Sc 7.2036 -1.4625 1.4636
Sc 4.8024 -6.1651 1.4544
Cd 2.4012 2.2451 1.4636
Cd 2.4012 -2.2451 4.3907
Cd 7.2036 2.2451 1.4636
Cd 7.2036 -2.2451 4.3907
C 4.8024 5.2065 1.4440
C 4.8024 1.5654 4.3711
C 4.8024 -1.5654 1.4831
C 4.8024 -5.2065 4.4102
CELL_PARAMETERS angstrom
4.8024 -6.7719 0.0000
4.8024 6.7719 0.0000
0.0000 0.0000 5.8542
! * DFT formation energy: -0.224 eV/atom
! * raw total energy: -30.26 eV per formula unit
! * SG: Cmce (64)

[3]
! PBE-GGA Na2Si4Pt3Au, optimized geometry; values from VASP
&SYSTEM
  ibrav = 0, nat = 10, ntyp = 4
/
ATOMIC_SPECIES
Na 22.99 Na.upf
Si 28.09 Si.upf
Pt 195.08 Pt.upf
Au 196.97 Au.upf
ATOMIC_POSITIONS angstrom
Na 0.0000 2.1232 2.4636
Na 2.1232 0.0000 7.4635
Si 0.0000 0.0000 0.0000
Si 0.0000 2.1232 6.2880
Si 2.1232 0.0000 3.6391
Si 2.1232 2.1232 0.0000
Pt 0.0000 2.1232 8.6892
Pt 2.1232 0.0000 1.2380
Pt 2.1232 2.1232 4.9636
Au 0.0000 0.0000 4.9636
CELL_PARAMETERS angstrom
4.2463 0.0000 0.0000
0.0000 4.2463 0.0000
0.0000 0.0000 9.9271
! * raw total energy: -50.66 eV per formula unit
! * SG: P-4m2 (115)
! * E_form (uncorrected): -493 meV/atom

[4]
! PBE-GGA Te2RuCN, optimized geometry; values from VASP
&SYSTEM
  ibrav = 0, nat = 5, ntyp = 4
/
ATOMIC_SPECIES
Te 127.60 Te.upf
Ru 101.07 Ru.upf
C 12.01 C.upf
N 14.01 N.upf
ATOMIC_POSITIONS angstrom
Te 0.0000 2.5285 0.0000
Te 2.5285 0.0000 0.0000
Ru 0.0000 0.0000 1.4932
C 2.5285 2.5285 0.0000
N 2.5285 2.5285 1.4932
CELL_PARAMETERS angstrom
5.0570 0.0000 0.0000
0.0000 5.0570 0.0000
0.0000 0.0000 2.9865
! * raw total energy: -26.17 eV per formula unit
! * SG: P4/mmm (123)
! * E_form (uncorrected): 1388 meV/atom

[5]
! PBE-GGA CaRuRh, optimized geometry; values from VASP
&SYSTEM
  ibrav = 0, nat = 3, ntyp = 3
/
ATOMIC_SPECIES
Ca 40.08 Ca.upf
Ru 101.07 Ru.upf
Rh 102.91 Rh.upf
ATOMIC_POSITIONS angstrom
Ca 0.0000 0.0000 0.0000
Ru 1.5707 1.5707 1.5707
Rh 4.7121 4.7121 4.7121
CELL_PARAMETERS angstrom
0.0000 3.1414 3.1414
3.1414 0.0000 3.1414
3.1414 3.1414 0.0000
! * DFT formation energy: 1.199 eV/atom
! * raw total energy: -15.03 eV per formula unit
! * SG: F-43m (216)

[6]
! PBE-GGA HfGa2Pt8, optimized geometry; values from VASP
&SYSTEM
  ibrav = 0, nat = 11, ntyp = 3
/
ATOMIC_SPECIES
Hf 178.49 Hf.upf
Ga 69.72 Ga.upf
Pt 195.08 Pt.upf
ATOMIC_POSITIONS angstrom
Hf 0.0000 0.0000 0.0000
Ga 0.0531 1.9545 3.4583
Ga 0.7503 1.3910 6.4908
Pt -1.9533 3.6233 2.8407
Pt -1.1470 2.8605 5.5399
Pt -1.1902 2.4455 8.2073
Pt 0.0327 2.7268 0.9334
Pt 0.7707 0.6187 9.0157
Pt 1.9936 0.9000 1.7418
Pt 1.9504 0.4850 4.4092
Pt 2.7567 -0.2779 7.1084
CELL_PARAMETERS angstrom
3.9558 0.0000 0.0000
-1.9188 4.5180 0.0000
-1.2336 -1.1725 9.9491
! * DFT formation energy: -0.604 eV/atom
! * raw total energy: -70.97 eV per formula unit
! * SG: P-1 (2)

DOS at the Fermi energy? In order: 5.87; 1.21; 4.91; 4.82; 6.20; 7.04 states/eV/f.u..